[1]
Material: PtAuBr2
Method: DFT, PBE
State: optimized geometry

Lattice parameters (Å, degrees): 3.5401 7.0054 6.9955 45.92 90.00 90.00
Closest atoms and distances in Å follow each position.
Sites, in units of the cell vectors:
Pt 0.5000 0.2500 0.2500  4 Br 2.49, 2 Au 2.73
Br 0.0000 0.3857 0.3870  2 Pt 2.49
Br 0.0000 0.1143 0.1130  2 Pt 2.49
Au 0.5000 0.7500 0.7500  2 Pt 2.73

Results
energy relative to the lowest polymorph listed for this composition = 0.139 eV per atom
calculated density = 7352 kg/m3
formation energy (no corrections) = 15.8 kJ/mol of atoms
N(E_F) = 3.1 states/eV/f.u.

[2]
Material: Ac3Zn3Au8
Method: DFT, PBE
State: optimized geometry

Lattice parameters (Å, degrees): 4.7676 8.8448 8.8325 63.73 74.34 74.36
Closest atoms and distances in Å follow each position.
Sites, in units of the cell vectors:
Zn 0.0000 0.5000 0.5000  8 Au 2.65-2.91
Zn 0.3303 0.3326 0.0068  5 Au 2.61-2.78
Zn 0.6697 0.6674 0.9932  5 Au 2.61-2.78
Ac 0.0000 0.0000 0.0000  8 Au 3.21-3.35
Ac 0.2946 0.7253 0.6854  10 Au 3.20-3.51, 3 Zn 3.37-3.43
Ac 0.7054 0.2747 0.3146  10 Au 3.20-3.51, 3 Zn 3.37-3.43
Au 0.6473 0.9671 0.7382  1 Zn 2.61, 2 Au 2.90
Au 0.8621 0.4266 0.8492  4 Zn 2.70-2.78
Au 0.3527 0.0329 0.2618  1 Zn 2.61, 2 Au 2.90
Au 0.8765 0.8360 0.4111  1 Zn 2.65, 2 Au 2.90
Au 0.4910 0.3310 0.6869  3 Zn 2.73-2.91, 3 Au 2.95-3.02
Au 0.5090 0.6690 0.3131  3 Zn 2.73-2.91, 3 Au 2.95-3.02
Au 0.1235 0.1640 0.5889  1 Zn 2.65, 2 Au 2.90
Au 0.1379 0.5734 0.1508  4 Zn 2.70-2.78

Results
formation energy from the elements = -0.6310 eV per atom
calculated density = 12862 kg/m3
N(E_F) = 6.6 states/eV/f.u.

[3]
Material: AcPdPt2O8
Method: DFT, PBE
State: optimized geometry

Lattice parameters (Å, degrees): 5.8476 5.8476 7.1835 90.00 90.00 120.00
Closest atoms and distances in Å follow each position.
Sites, in units of the cell vectors:
Ac 0.0000 0.0000 0.5000  6 O 2.61
Pt 0.3333 0.6667 0.7669  4 O 1.88-1.94
Pt 0.6667 0.3333 0.2331  4 O 1.88-1.94
Pd 0.0000 0.0000 0.0000  6 O 2.10
O 0.8512 0.1488 0.2041  1 Pt 1.88, 1 Pd 2.10
O 0.3333 0.6667 0.4973  1 Pt 1.94
O 0.2975 0.1488 0.2041  1 Pt 1.88, 1 Pd 2.10
O 0.1488 0.8512 0.7959  1 Pt 1.88, 1 Pd 2.10
O 0.8512 0.7025 0.2041  1 Pt 1.88, 1 Pd 2.10
O 0.6667 0.3333 0.5027  1 Pt 1.94
O 0.7025 0.8512 0.7959  1 Pt 1.88, 1 Pd 2.10
O 0.1488 0.2975 0.7959  1 Pt 1.88, 1 Pd 2.10

Results
calculated density = 6647 kg/m3
formation energy (no corrections) = -55.3 kJ/mol of atoms
N(E_F) = 8.7 states/eV/f.u.

[4]
Material: Dy6BiSb2As3
Method: DFT, PBE
State: optimized geometry

Lattice parameters (Å, degrees): 4.2409 8.5761 9.5647 103.76 102.81 90.00
Closest atoms and distances in Å follow each position.
Sites, in units of the cell vectors:
Dy 0.3366 0.4075 0.6731  3 As 2.95-2.96, 3 Sb 3.08-3.09
Dy 0.9958 0.2644 0.9917  3 As 2.92-2.94, 1 Sb 3.09, 2 Bi 3.12
Dy 0.0042 0.7356 0.0083  3 As 2.92-2.94, 1 Sb 3.09, 2 Bi 3.12
Dy 0.6634 0.5925 0.3269  3 As 2.95-2.96, 3 Sb 3.08-3.09
Dy 0.3276 0.9255 0.6551  3 As 2.92-2.95, 2 Sb 3.09, 1 Bi 3.12
Dy 0.6724 0.0745 0.3449  3 As 2.92-2.95, 2 Sb 3.09, 1 Bi 3.12
As 0.8335 0.1674 0.6671  6 Dy 2.92-2.95
As 0.5000 0.5000 0.0000  6 Dy 2.92-2.96
As 0.1665 0.8326 0.3329  6 Dy 2.92-2.95
Bi 0.5000 0.0000 0.0000  6 Dy 3.12
Sb 0.1663 0.3327 0.3326  6 Dy 3.08-3.09
Sb 0.8337 0.6673 0.6674  6 Dy 3.08-3.09

Results
calculated density = 8340 kg/m3
formation energy (no corrections) = -122.4 kJ/mol of atoms
N(E_F) = 1.9 states/eV/f.u.

[5]
Material: SrTc2Ag
Method: DFT, PBE
State: optimized geometry

Lattice parameters (Å, degrees): 4.2655 4.2655 6.4993 70.86 70.86 59.96
Closest atoms and distances in Å follow each position.
Sites, in units of the cell vectors:
Sr 0.2547 0.2547 0.2361  3 Ag 3.29, 7 Tc 3.44-3.61
Tc 0.7237 0.7237 0.8288  3 Tc 2.46
Tc 0.0546 0.0546 0.8362  3 Tc 2.46
Ag 0.4669 0.4669 0.5989  6 Tc 2.82-2.85

Results
energy relative to the lowest polymorph listed for this composition = 0.031 eV per atom
formation energy from the elements = 0.3735 eV per atom
calculated density = 6861 kg/m3
N(E_F) = 7.1 states/eV/f.u.

[6]
Material: AcZrS3
Method: DFT, PBE
State: optimized geometry

Lattice parameters (Å, degrees): 3.7887 8.2019 9.2821 92.20 101.78 90.00
Closest atoms and distances in Å follow each position.
Sites, in units of the cell vectors:
S 0.8603 0.4539 0.7207  2 Zr 2.55
S 0.0309 0.2054 0.0617  2 Zr 2.61
S 0.7042 0.1505 0.4085  1 Zr 2.41
S 0.2958 0.8495 0.5915  1 Zr 2.41
S 0.1397 0.5461 0.2793  2 Zr 2.55
S 0.9691 0.7946 0.9383  2 Zr 2.61
Zr 0.6088 0.3469 0.2177  5 S 2.41-2.61
Zr 0.3912 0.6531 0.7823  5 S 2.41-2.61
Ac 0.1300 0.9079 0.2600  6 S 2.98-3.09
Ac 0.8700 0.0921 0.7400  6 S 2.98-3.09

Results
energy relative to the lowest polymorph listed for this composition = 0.232 eV per atom
calculated density = 4878 kg/m3
formation energy (no corrections) = -149.3 kJ/mol of atoms
N(E_F) = 3.2 states/eV/f.u.